BaHgSe2 | GGA-PBE | optimized geometry

a = 12.050 Å, b = 11.769 Å, c = 15.293 Å
α = 90.00°, β = 101.08°, γ = 90.00°
Space group C2/c (No. 15)
Symmetry-distinct sites (fractional):
1 Ba 0.002 0.162 0.391 (multiplicity 8)
2 Ba 0.204 0.463 0.136 (multiplicity 8)
3 Hg 0.098 0.180 0.639 (multiplicity 8)
4 Hg 0.139 0.429 0.850 (multiplicity 8)
5 Se 0.000 0.050 0.750 (multiplicity 4)
6 Se 0.000 0.410 0.250 (multiplicity 4)
7 Se 0.007 0.353 0.959 (multiplicity 8)
8 Se 0.174 0.019 0.536 (multiplicity 8)
9 Se 0.240 0.201 0.246 (multiplicity 8)

The value obtained for the calculated density is 6.2 g cm⁻³. The value obtained for the size of the total moment is 0.00 Bohr magnetons per cell. The calculation puts the total energy at -216.427 eV for the cell shown. Its energy relative to the elements, uncorrected is -1.08 eV/atom.